{
  "formula": "Li2PuSiGe2",
  "functional": "PBE-GGA",
  "state": "optimized geometry",
  "dft_energy_ev_per_atom": -5.738,
  "n_ef_per_ev_fu": 6.72,
  "vol_a3_per_atom": 17.42,
  "formation_energy_uncorrected_ev_per_fu": -1.61,
  "lattice_angstrom": [[4.195, 0.000, 0.000], [0.000, 5.733, 0.000], [0.000, 0.000, 8.693]],
  "species": ["Li", "Li", "Li", "Li", "Pu", "Pu", "Si", "Si", "Ge", "Ge", "Ge", "Ge"],
  "fractional_positions": [[0.500, 0.007, 0.000], [0.000, 0.258, 0.140], [0.500, 0.507, 0.000], [0.000, 0.758, 0.860], [0.000, 0.008, 0.500], [0.000, 0.508, 0.500], [0.500, 0.258, 0.684], [0.500, 0.758, 0.316], [0.000, 0.257, 0.842], [0.500, 0.258, 0.300], [0.000, 0.757, 0.158], [0.500, 0.758, 0.700]]
}


{
  "formula": "Mg2Sn2Bi",
  "functional": "PBE-GGA",
  "state": "optimized geometry",
  "de_polymorph_mev_per_atom": 16.8,
  "dft_energy_ev_per_atom": -3.073,
  "n_ef_per_ev_fu": 2.94,
  "vol_a3_per_atom": 26.33,
  "e_form_ev_per_atom": -0.0579,
  "lattice_angstrom": [[-8.566, 0.003, 2.116], [1.781, -4.751, 7.218], [0.438, 2.850, 1.768]],
  "species": ["Mg", "Mg", "Mg", "Mg", "Bi", "Bi", "Sn", "Sn", "Sn", "Sn"],
  "fractional_positions": [[0.131, 0.631, 0.500], [0.631, 0.869, 0.500], [0.869, 0.369, 0.500], [0.369, 0.131, 0.500], [0.000, 0.000, 0.000], [0.500, 0.500, 0.000], [0.334, 0.834, 0.000], [0.834, 0.666, 0.000], [0.666, 0.166, 0.000], [0.166, 0.334, 0.000]]
}